KMn2Re: relaxed, GGA-PBE.

The magnetic moment is 5.2 μB per formula unit. For the energy relative to the lowest polymorph listed for this composition, the calculation gives 0.2439 eV/atom. For the total energy, the calculation gives -7.057 eV/atom. The calculation puts the calculated formation energy at 914 meV/atom.

Geometry as extended XYZ:
```
4
Lattice="3.9953 -1.4443 0.0000 3.9953 1.4443 0.0000 -0.5951 0.0000 7.5589" Properties=species:S:1:pos:R:3 pbc="T T T"
K 0.0000 0.0000 0.0000
Mn 1.4361 0.0000 4.7875
Mn 3.7059 0.0000 3.4603
Re 5.9584 0.0000 2.6826
```